Entry 1:
First-principles (PBE) data for a geometry-optimized KCaTa structure, as listed in the Alexandria database.

Computed properties:
* size of the total moment: 1.9 μB/f.u.
* uncorrected energy: -3.733 eV/atom
* formation energy: 1.25 eV/atom

Geometry as CIF:
```
data_KCaTa
_symmetry_space_group_name_H-M 'P 1'
_symmetry_Int_Tables_number 1
_cell_length_a 6.8847
_cell_length_b 6.8847
_cell_length_c 6.8847
_cell_angle_alpha 154.54
_cell_angle_beta 135.23
_cell_angle_gamma 52.21
loop_
_symmetry_equiv_pos_as_xyz
'x,y,z'
loop_
_atom_site_label
_atom_site_type_symbol
_atom_site_fract_x
_atom_site_fract_y
_atom_site_fract_z
_atom_site_occupancy
Ta1 Ta 0.3607 0.3607 0.0000 1
K1 K 0.6718 0.6718 0.0000 1
Ca1 Ca 0.9675 0.9675 0.0000 1
```

Entry 2:
First-principles (PBE) data for a geometry-optimized Pm3YHo4 structure, as listed in the Alexandria database.

Computed properties:
* size of the total moment: 0.0 μB/f.u.
* uncorrected energy: -4.860 eV/atom
* formation energy: 0.02 eV/atom

Geometry as CIF:
```
data_Pm3YHo4
_symmetry_space_group_name_H-M 'P 1'
_symmetry_Int_Tables_number 1
_cell_length_a 6.3028
_cell_length_b 7.3104
_cell_length_c 11.4112
_cell_angle_alpha 90.00
_cell_angle_beta 90.00
_cell_angle_gamma 90.00
loop_
_symmetry_equiv_pos_as_xyz
'x,y,z'
loop_
_atom_site_label
_atom_site_type_symbol
_atom_site_fract_x
_atom_site_fract_y
_atom_site_fract_z
_atom_site_occupancy
Ho1 Ho 0.6477 0.1231 0.5000 1
Ho2 Ho 0.6478 0.1210 0.0000 1
Ho3 Ho 0.1477 0.8769 0.0000 1
Ho4 Ho 0.1478 0.8790 0.5000 1
Ho5 Ho 0.9800 0.1217 0.7510 1
Ho6 Ho 0.4800 0.8783 0.2510 1
Ho7 Ho 0.9800 0.1217 0.2490 1
Ho8 Ho 0.4800 0.8783 0.7490 1
Pm1 Pm 0.4827 0.3729 0.2496 1
Pm2 Pm 0.1479 0.3723 0.5000 1
Pm3 Pm 0.6479 0.6277 0.0000 1
Pm4 Pm 0.9827 0.6271 0.2504 1
Pm5 Pm 0.4827 0.3729 0.7504 1
Pm6 Pm 0.9827 0.6271 0.7496 1
Y1 Y 0.1464 0.3712 0.0000 1
Y2 Y 0.6464 0.6288 0.5000 1
```

Entry 3:
First-principles (PBE) data for a geometry-optimized Cs2TbBe2Se4 structure, as listed in the Alexandria database.

Computed properties:
* size of the total moment: 0.0 μB/f.u.
* formation energy from raw total energies: -1.067 eV per atom
* uncorrected energy: -4.148 eV/atom

Geometry as CIF:
```
data_Cs2TbBe2Se4
_symmetry_space_group_name_H-M 'P 1'
_symmetry_Int_Tables_number 1
_cell_length_a 3.9500
_cell_length_b 8.5879
_cell_length_c 7.9244
_cell_angle_alpha 108.48
_cell_angle_beta 104.43
_cell_angle_gamma 90.00
loop_
_symmetry_equiv_pos_as_xyz
'x,y,z'
loop_
_atom_site_label
_atom_site_type_symbol
_atom_site_fract_x
_atom_site_fract_y
_atom_site_fract_z
_atom_site_occupancy
Be1 Be 0.3296 0.0242 0.6592 1
Be2 Be 0.6704 0.9758 0.3408 1
Se1 Se 0.2029 0.1325 0.4058 1
Se2 Se 0.4652 0.2220 0.9304 1
Se3 Se 0.7971 0.8675 0.5942 1
Se4 Se 0.5348 0.7780 0.0696 1
Cs1 Cs 0.8667 0.4612 0.7334 1
Cs2 Cs 0.1333 0.5388 0.2666 1
Tb1 Tb 0.0000 0.0000 0.0000 1
```

Entry 4:
First-principles (PBE) data for a geometry-optimized GaRe2Sn structure, as listed in the Alexandria database.

Computed properties:
* size of the total moment: 0.0 μB/f.u.
* uncorrected energy: -7.456 eV/atom
* formation energy: 0.53 eV/atom

Geometry as CIF:
```
data_GaRe2Sn
_symmetry_space_group_name_H-M 'P 1'
_symmetry_Int_Tables_number 1
_cell_length_a 4.5042
_cell_length_b 4.5042
_cell_length_c 4.5042
_cell_angle_alpha 60.00
_cell_angle_beta 60.00
_cell_angle_gamma 60.00
loop_
_symmetry_equiv_pos_as_xyz
'x,y,z'
loop_
_atom_site_label
_atom_site_type_symbol
_atom_site_fract_x
_atom_site_fract_y
_atom_site_fract_z
_atom_site_occupancy
Re1 Re 0.7500 0.7500 0.7500 1
Re2 Re 0.2500 0.2500 0.2500 1
Ga1 Ga 0.0000 0.0000 0.0000 1
Sn1 Sn 0.5000 0.5000 0.5000 1
```